[1]
VASP calculation (PBE) on a relaxed AcDy7Tm12 crystal.

Lattice parameters (Å, degrees): 9.7078 9.7078 9.7078 109.47 109.47 109.47
Closest atoms and distances in Å follow each position.
Fractional coordinates of all 20 atoms:
Ac: 0.0000 0.0000 0.0000  12 Tm 4.17
Dy: 0.0000 0.0000 0.5000  6 Tm 2.81
Dy: 0.0000 0.5000 0.0000  6 Tm 2.81
Dy: 0.0000 0.5000 0.5000  12 Tm 3.75-3.98
Dy: 0.5000 0.0000 0.0000  6 Tm 2.81
Dy: 0.5000 0.0000 0.5000  12 Tm 3.75-3.98
Dy: 0.5000 0.5000 0.0000  12 Tm 3.75-3.98
Dy: 0.5000 0.5000 0.5000  6 Tm 2.81
Tm: 0.0009 0.2638 0.7371  2 Dy 2.81
Tm: 0.2629 0.5267 0.2638  2 Dy 2.81
Tm: 0.2629 0.9991 0.7362  2 Dy 2.81
Tm: 0.2638 0.2629 0.5267  2 Dy 2.81
Tm: 0.2638 0.7371 0.0009  2 Dy 2.81
Tm: 0.4733 0.7362 0.7371  2 Dy 2.81
Tm: 0.5267 0.2638 0.2629  2 Dy 2.81
Tm: 0.7362 0.2629 0.9991  2 Dy 2.81
Tm: 0.7362 0.7371 0.4733  2 Dy 2.81
Tm: 0.7371 0.0009 0.2638  2 Dy 2.81
Tm: 0.7371 0.4733 0.7362  2 Dy 2.81
Tm: 0.9991 0.7362 0.2629  2 Dy 2.81

Summary:
Distance to the lowest polymorph of the same formula: 461 meV/atom
ΔE_f: 701 meV per atom
Raw total energy: -75.96 eV per formula unit

***

[2]
VASP calculation (PBE) on a relaxed Ac2DyTm crystal.

Lattice parameters (Å, degrees): 12.2131 12.2131 12.2131 17.83 17.83 17.83
Closest atoms and distances in Å follow each position.
Fractional coordinates of all 4 atoms:
Ac: 0.0000 0.0000 0.0000  3 Tm 3.68, 3 Dy 3.70, 6 Ac 3.79
Ac: 0.1674 0.1674 0.1674  3 Tm 3.73, 3 Dy 3.75, 6 Ac 3.79
Dy: 0.4161 0.4161 0.4161  6 Ac 3.70-3.75, 6 Dy 3.79
Tm: 0.5847 0.5847 0.5847  6 Ac 3.68-3.73, 6 Tm 3.79

Summary:
Distance to the lowest polymorph of the same formula: 31 meV/atom
ΔE_f: 86 meV per atom
Raw total energy: -16.95 eV per formula unit

***

[3]
VASP calculation (PBE) on a relaxed Ac2DyTm crystal.

Lattice parameters (Å, degrees): 5.4656 5.4656 4.9753 90.00 90.00 90.00
Closest atoms and distances in Å follow each position.
Fractional coordinates of all 4 atoms:
Ac: 0.0000 0.5000 0.0000  4 Dy 3.70, 4 Tm 3.70, 4 Ac 3.86
Ac: 0.5000 0.0000 0.0000  4 Dy 3.70, 4 Tm 3.70, 4 Ac 3.86
Dy: 0.0000 0.0000 0.5000  8 Ac 3.70, 4 Tm 3.86
Tm: 0.5000 0.5000 0.5000  8 Ac 3.70, 4 Dy 3.86

Summary:
Distance to the lowest polymorph of the same formula: 0 meV/atom
ΔE_f: 55 meV per atom
Raw total energy: -17.07 eV per formula unit

***

[4]
VASP calculation (PBE) on a relaxed Ac2Dy5Tm6 crystal.

Lattice parameters (Å, degrees): 11.8296 20.1877 3.6149 90.00 90.00 90.00
Closest atoms and distances in Å follow each position.
Fractional coordinates of all 26 atoms:
Ac: 0.1602 0.2224 0.0000  6 Dy 3.57-3.92, 5 Tm 3.58-3.96, 2 Ac 3.61
Ac: 0.3398 0.7224 0.0000  6 Dy 3.57-3.92, 5 Tm 3.58-3.96, 2 Ac 3.61
Ac: 0.6602 0.2776 0.0000  6 Dy 3.57-3.92, 5 Tm 3.58-3.96, 2 Ac 3.61
Ac: 0.8398 0.7776 0.0000  6 Dy 3.57-3.92, 5 Tm 3.58-3.96, 2 Ac 3.61
Dy: 0.0000 0.5000 0.5000  6 Tm 3.21-3.43
Dy: 0.1008 0.7832 0.5000  5 Tm 3.25-3.46, 4 Ac 3.57-3.58, 2 Dy 3.61
Dy: 0.2002 0.0520 0.5000  7 Tm 3.54-3.69, 3 Dy 3.61-3.70, 2 Ac 3.92
Dy: 0.2998 0.5520 0.5000  7 Tm 3.54-3.69, 3 Dy 3.61-3.70, 2 Ac 3.92
Dy: 0.3992 0.2832 0.5000  5 Tm 3.25-3.46, 4 Ac 3.57-3.58, 2 Dy 3.61
Dy: 0.5000 0.0000 0.5000  6 Tm 3.21-3.43
Dy: 0.6008 0.7168 0.5000  5 Tm 3.25-3.46, 4 Ac 3.57-3.58, 2 Dy 3.61
Dy: 0.7002 0.4480 0.5000  7 Tm 3.54-3.69, 3 Dy 3.61-3.70, 2 Ac 3.92
Dy: 0.7998 0.9480 0.5000  7 Tm 3.54-3.69, 3 Dy 3.61-3.70, 2 Ac 3.92
Dy: 0.8992 0.2168 0.5000  5 Tm 3.25-3.46, 4 Ac 3.57-3.58, 2 Dy 3.61
Tm: 0.0603 0.9254 0.0000  5 Tm 3.33-3.64, 6 Dy 3.43-3.60
Tm: 0.0742 0.6379 0.0000  6 Dy 3.43-3.66, 4 Tm 3.56-3.61, 1 Ac 3.58
Tm: 0.1830 0.3826 0.5000  2 Dy 3.21-3.25, 2 Tm 3.56
Tm: 0.3170 0.8826 0.5000  2 Dy 3.21-3.25, 2 Tm 3.56
Tm: 0.4258 0.1379 0.0000  6 Dy 3.43-3.66, 4 Tm 3.56-3.61, 1 Ac 3.58
Tm: 0.4397 0.4254 0.0000  5 Tm 3.33-3.64, 6 Dy 3.43-3.60
Tm: 0.5603 0.5746 0.0000  5 Tm 3.33-3.64, 6 Dy 3.43-3.60
Tm: 0.5742 0.8621 0.0000  6 Dy 3.43-3.66, 4 Tm 3.56-3.61, 1 Ac 3.58
Tm: 0.6830 0.1174 0.5000  2 Dy 3.21-3.25, 2 Tm 3.56
Tm: 0.8170 0.6174 0.5000  2 Dy 3.21-3.25, 2 Tm 3.56
Tm: 0.9258 0.3621 0.0000  6 Dy 3.43-3.66, 4 Tm 3.56-3.61, 1 Ac 3.58
Tm: 0.9397 0.0746 0.0000  5 Tm 3.33-3.64, 6 Dy 3.43-3.60

Summary:
ΔE_f: 124 meV per atom
Raw total energy: -56.44 eV per formula unit

***

[5]
VASP calculation (PBE) on a relaxed AcDy5Tm2 crystal.

Lattice parameters (Å, degrees): 7.1829 20.1518 7.1775 90.00 90.00 90.00
Closest atoms and distances in Å follow each position.
Fractional coordinates of all 32 atoms:
Ac: 0.2490 0.1245 0.0000  4 Tm 3.59, 8 Dy 3.59-3.61
Ac: 0.2510 0.6245 0.0000  4 Tm 3.59, 8 Dy 3.59-3.61
Ac: 0.7490 0.3755 0.0000  4 Tm 3.59, 8 Dy 3.59-3.61
Ac: 0.7510 0.8755 0.0000  4 Tm 3.59, 8 Dy 3.59-3.61
Dy: 0.0000 0.5000 0.2569  6 Dy 3.49-3.69, 4 Tm 3.55-3.59, 2 Ac 3.60
Dy: 0.0000 0.5000 0.7431  6 Dy 3.49-3.69, 4 Tm 3.55-3.59, 2 Ac 3.60
Dy: 0.0014 0.7501 0.2568  8 Dy 3.49-3.69, 2 Tm 3.56, 2 Ac 3.61
Dy: 0.0014 0.7501 0.7432  8 Dy 3.49-3.69, 2 Tm 3.56, 2 Ac 3.61
Dy: 0.2490 0.3754 0.0000  8 Dy 3.59-3.61, 2 Ac 3.59, 2 Tm 3.60
Dy: 0.2491 0.3754 0.5000  8 Dy 3.54-3.59, 4 Tm 3.55-3.60
Dy: 0.2510 0.8754 0.0000  8 Dy 3.59-3.61, 2 Ac 3.59, 2 Tm 3.60
Dy: 0.2509 0.8754 0.5000  8 Dy 3.54-3.59, 4 Tm 3.55-3.60
Dy: 0.4986 0.2501 0.2568  8 Dy 3.49-3.69, 2 Tm 3.56, 2 Ac 3.61
Dy: 0.4986 0.2501 0.7432  8 Dy 3.49-3.69, 2 Tm 3.56, 2 Ac 3.61
Dy: 0.5000 0.0000 0.2569  6 Dy 3.49-3.69, 4 Tm 3.55-3.59, 2 Ac 3.60
Dy: 0.5000 0.0000 0.7431  6 Dy 3.49-3.69, 4 Tm 3.55-3.59, 2 Ac 3.60
Dy: 0.5014 0.7499 0.2568  8 Dy 3.49-3.69, 2 Tm 3.56, 2 Ac 3.61
Dy: 0.5014 0.7499 0.7432  8 Dy 3.49-3.69, 2 Tm 3.56, 2 Ac 3.61
Dy: 0.7490 0.1246 0.0000  8 Dy 3.59-3.61, 2 Ac 3.59, 2 Tm 3.60
Dy: 0.7491 0.1246 0.5000  8 Dy 3.54-3.59, 4 Tm 3.55-3.60
Dy: 0.7510 0.6246 0.0000  8 Dy 3.59-3.61, 2 Ac 3.59, 2 Tm 3.60
Dy: 0.7509 0.6246 0.5000  8 Dy 3.54-3.59, 4 Tm 3.55-3.60
Dy: 0.9986 0.2499 0.2568  8 Dy 3.49-3.69, 2 Tm 3.56, 2 Ac 3.61
Dy: 0.9986 0.2499 0.7432  8 Dy 3.49-3.69, 2 Tm 3.56, 2 Ac 3.61
Tm: 0.0000 0.0000 0.2575  4 Tm 3.48-3.70, 6 Dy 3.55-3.60, 2 Ac 3.59
Tm: 0.0000 0.0000 0.7425  4 Tm 3.48-3.70, 6 Dy 3.55-3.60, 2 Ac 3.59
Tm: 0.2484 0.1245 0.5000  2 Tm 3.54, 8 Dy 3.55-3.60, 2 Ac 3.59
Tm: 0.2516 0.6245 0.5000  2 Tm 3.54, 8 Dy 3.55-3.60, 2 Ac 3.59
Tm: 0.5000 0.5000 0.2575  4 Tm 3.48-3.70, 6 Dy 3.55-3.60, 2 Ac 3.59
Tm: 0.5000 0.5000 0.7425  4 Tm 3.48-3.70, 6 Dy 3.55-3.60, 2 Ac 3.59
Tm: 0.7484 0.3755 0.5000  2 Tm 3.54, 8 Dy 3.55-3.60, 2 Ac 3.59
Tm: 0.7516 0.8755 0.5000  2 Tm 3.54, 8 Dy 3.55-3.60, 2 Ac 3.59

Summary:
ΔE_f: 42 meV per atom
Raw total energy: -35.73 eV per formula unit

***

[6]
VASP calculation (PBE) on a relaxed AcDy8Tm3 crystal.

Lattice parameters (Å, degrees): 8.7082 8.7082 8.7082 137.19 98.05 97.26
Closest atoms and distances in Å follow each position.
Fractional coordinates of all 12 atoms:
Ac: 0.0000 0.0000 0.0000  8 Dy 3.45-3.51
Dy: 0.0810 0.8278 0.2532  6 Dy 3.34-3.65, 1 Tm 3.45, 1 Ac 3.51
Dy: 0.2688 0.0285 0.7597  4 Dy 3.05-3.34, 1 Tm 3.13
Dy: 0.2688 0.5090 0.2403  4 Dy 3.05-3.34, 1 Tm 3.13
Dy: 0.4254 0.1722 0.2532  6 Dy 3.34-3.65, 1 Tm 3.45, 1 Ac 3.51
Dy: 0.5746 0.8278 0.7468  6 Dy 3.34-3.65, 1 Tm 3.45, 1 Ac 3.51
Dy: 0.7312 0.4910 0.7597  4 Dy 3.05-3.34, 1 Tm 3.13
Dy: 0.7312 0.9715 0.2403  4 Dy 3.05-3.34, 1 Tm 3.13
Dy: 0.9190 0.1722 0.7468  6 Dy 3.34-3.65, 1 Tm 3.45, 1 Ac 3.51
Tm: 0.2721 0.5000 0.7721  10 Dy 3.75-4.02, 2 Tm 4.11
Tm: 0.5000 0.0000 0.5000  8 Dy 3.13-3.45
Tm: 0.7279 0.5000 0.2279  10 Dy 3.75-4.02, 2 Tm 4.11

Summary:
ΔE_f: 347 meV per atom
Raw total energy: -50.17 eV per formula unit